# BaCaC2 PBE optimized geometry
# Total magnetic moment ... 0.0 μB per cell
# Distance to the lowest polymorph of the same formula ... 0.00 eV/f.u.
# Total energy ... -4.174 eV/atom
# Symmetry ... Fm-3m (225)
data_BaCaC2
_symmetry_space_group_name_H-M 'P 1'
_symmetry_Int_Tables_number 1
_cell_length_a 4.7821
_cell_length_b 4.7821
_cell_length_c 4.7821
_cell_angle_alpha 60.00
_cell_angle_beta 60.00
_cell_angle_gamma 60.00
loop_
_symmetry_equiv_pos_as_xyz
'x,y,z'
loop_
_atom_site_label
_atom_site_type_symbol
_atom_site_fract_x
_atom_site_fract_y
_atom_site_fract_z
Ba1 Ba 0.0000 0.0000 0.0000
Ca1 Ca 0.5000 0.5000 0.5000
C1 C 0.2500 0.2500 0.2500
C2 C 0.7500 0.7500 0.7500

# Sr2ScCd12Au3 PBE optimized geometry
# Total magnetic moment ... 0.0 μB per cell
# Total energy ... -1.664 eV/atom
# Symmetry ... R-3m (166)
data_Sr2ScCd12Au3
_symmetry_space_group_name_H-M 'P 1'
_symmetry_Int_Tables_number 1
_cell_length_a 8.6327
_cell_length_b 8.6327
_cell_length_c 8.6327
_cell_angle_alpha 69.01
_cell_angle_beta 69.01
_cell_angle_gamma 69.01
loop_
_symmetry_equiv_pos_as_xyz
'x,y,z'
loop_
_atom_site_label
_atom_site_type_symbol
_atom_site_fract_x
_atom_site_fract_y
_atom_site_fract_z
Sr1 Sr 0.0953 0.0953 0.0953
Sr2 Sr 0.9047 0.9047 0.9047
Sc1 Sc 0.5000 0.5000 0.5000
Cd1 Cd 0.1208 0.6484 0.6484
Cd2 Cd 0.2140 0.2140 0.6663
Cd3 Cd 0.2140 0.6663 0.2140
Cd4 Cd 0.3337 0.7860 0.7860
Cd5 Cd 0.3516 0.3516 0.8792
Cd6 Cd 0.3516 0.8792 0.3516
Cd7 Cd 0.6484 0.1208 0.6484
Cd8 Cd 0.6484 0.6484 0.1208
Cd9 Cd 0.6663 0.2140 0.2140
Cd10 Cd 0.7860 0.3337 0.7860
Cd11 Cd 0.7860 0.7860 0.3337
Cd12 Cd 0.8792 0.3516 0.3516
Au1 Au 0.0000 0.5000 0.5000
Au2 Au 0.5000 0.0000 0.5000
Au3 Au 0.5000 0.5000 0.0000

# HPbSe2Br PBE optimized geometry
# Total magnetic moment ... 0.0 μB per cell
# Distance to the lowest polymorph of the same formula ... 0.00 eV/f.u.
# Total energy ... -3.065 eV/atom
# Symmetry ... P4/mmm (123)
data_HPbSe2Br
_symmetry_space_group_name_H-M 'P 1'
_symmetry_Int_Tables_number 1
_cell_length_a 4.2499
_cell_length_b 4.2499
_cell_length_c 5.9980
_cell_angle_alpha 90.00
_cell_angle_beta 90.00
_cell_angle_gamma 90.00
loop_
_symmetry_equiv_pos_as_xyz
'x,y,z'
loop_
_atom_site_label
_atom_site_type_symbol
_atom_site_fract_x
_atom_site_fract_y
_atom_site_fract_z
H1 H 0.0000 0.0000 0.0000
Pb1 Pb 0.5000 0.5000 0.5000
Se1 Se 0.0000 0.5000 0.0000
Se2 Se 0.5000 0.0000 0.0000
Br1 Br 0.0000 0.0000 0.5000